Entry 1:
KCd2Cu2 | GGA-PBEsol | relaxed

Cell: 4.5177 4.5177 6.1958 Å, 111.38 111.38 90.00°
Last column: nearest neighbours and their distance in Å.
Positions (direct):
K1 0.0000 0.0000 0.0000  8 Cu 3.41, 8 Cd 3.49
Cu1 0.3874 0.3874 0.7749  1 Cu 2.39
Cu2 0.6126 0.6126 0.2251  1 Cu 2.39
Cd1 0.2500 0.7500 0.5000  4 Cu 2.69
Cd2 0.7500 0.2500 0.5000  4 Cu 2.69

Properties
* E_form: 0.20 eV per atom
* Fermi-level density of states: 0.374 states/eV per atom
* space-group type: I4/mmm (139)
* volume: 108.4 Å³ per cell
* ρ: 5.992 g/cm³
* crystal system: tetragonal

=====

Entry 2:
BaCuRh2 | GGA-PBEsol | relaxed

Cell: 4.3241 4.3241 5.9735 Å, 111.22 90.00 120.00°
Last column: nearest neighbours and their distance in Å.
Positions (direct):
Rh1 0.0059 0.0118 0.0176  3 Rh 2.50, 3 Cu 2.54
Rh2 0.6840 0.3681 0.0520  3 Rh 2.50, 3 Cu 2.57
Ba1 0.4979 0.9959 0.4941  1 Rh 3.03, 1 Cu 3.03
Cu1 0.3121 0.6243 0.9362  6 Rh 2.54-2.57

Properties
* E_form: -0.02 eV per atom
* Fermi-level density of states: 1.132 states/eV per atom
* space-group type: R3m (160)
* volume: 87.9 Å³ per cell
* ρ: 7.685 g/cm³
* crystal system: trigonal

=====

Entry 3:
Al2ZnIn | GGA-PBEsol | relaxed

Cell: 2.9776 2.9776 8.1348 Å, 90.00 90.00 90.00°
Last column: nearest neighbours and their distance in Å.
Positions (direct):
Zn1 0.5000 0.5000 0.7752  4 Al 2.74, 4 Zn 2.98, 4 In 3.02
Al1 0.0000 0.0000 0.9916  4 Zn 2.74, 8 Al 2.83-2.98
Al2 0.5000 0.5000 0.2249  8 Al 2.83-2.98, 4 In 3.12
In1 0.0000 0.0000 0.5083  4 In 2.98, 4 Zn 3.02, 4 Al 3.12

Properties
* E_form: 0.10 eV per atom
* Fermi-level density of states: 0.377 states/eV per atom
* space-group type: P4mm (99)
* volume: 72.1 Å³ per cell
* ρ: 5.392 g/cm³
* crystal system: tetragonal

=====

Entry 4:
MgGeAs3 | GGA-PBEsol | relaxed

Cell: 4.8930 4.8930 4.8930 Å, 90.00 90.00 90.00°
Last column: nearest neighbours and their distance in Å.
Positions (direct):
Mg1 0.5000 0.5000 0.5000  12 As 3.46
As1 0.0000 0.5000 0.0000  2 Ge 2.45
As2 0.0000 0.0000 0.5000  2 Ge 2.45
As3 0.5000 0.0000 0.0000  2 Ge 2.45
Ge1 0.0000 0.0000 0.0000  6 As 2.45

Properties
* E_form: 0.58 eV per atom
* Fermi-level density of states: 0.937 states/eV per atom
* space-group type: Pm-3m (221)
* volume: 117.1 Å³ per cell
* ρ: 4.560 g/cm³
* crystal system: cubic

=====

Entry 5:
MnZnPt2 | GGA-PBEsol | relaxed

Cell: 2.7977 4.5152 4.8079 Å, 110.13 90.00 90.00°
Last column: nearest neighbours and their distance in Å.
Positions (direct):
Mn1 0.0000 0.5000 0.5000  6 Pt 2.66-2.67, 4 Zn 2.78, 2 Mn 2.80
Pt1 0.0000 0.0000 0.0000  4 Zn 2.66, 2 Mn 2.67, 6 Pt 2.78-2.80
Pt2 0.5000 0.0000 0.5000  4 Mn 2.66, 2 Zn 2.67, 6 Pt 2.78-2.80
Zn1 0.5000 0.5000 0.0000  6 Pt 2.66-2.67, 4 Mn 2.78, 2 Zn 2.80

Properties
* E_form: -0.24 eV per atom
* Fermi-level density of states: 0.617 states/eV per atom
* space-group type: P2/m (10)
* volume: 57.0 Å³ per cell
* ρ: 14.867 g/cm³
* crystal system: monoclinic

=====

Entry 6:
Zn2CoRe | GGA-PBEsol | relaxed

Cell: 2.5631 3.8650 5.2051 Å, 90.00 90.00 90.00°
Last column: nearest neighbours and their distance in Å.
Positions (direct):
Co1 0.5000 0.5000 0.0000  2 Co 2.56, 2 Re 2.60, 8 Zn 2.63
Re1 0.5000 0.5000 0.5000  2 Re 2.56, 2 Co 2.60, 8 Zn 2.69
Zn1 0.0000 0.0000 0.7619  4 Zn 2.48-2.73, 4 Co 2.63, 4 Re 2.69
Zn2 0.0000 0.0000 0.2381  4 Zn 2.48-2.73, 4 Co 2.63, 4 Re 2.69

Properties
* E_form: 0.26 eV per atom
* Fermi-level density of states: 1.342 states/eV per atom
* space-group type: Pmmm (47)
* volume: 51.6 Å³ per cell
* ρ: 12.107 g/cm³
* crystal system: orthorhombic

=====

Entry 7:
KCoIr | GGA-PBEsol | relaxed

Cell: 2.7612 2.7612 7.1854 Å, 101.08 101.08 90.00°
Last column: nearest neighbours and their distance in Å.
Positions (direct):
Co1 0.0323 0.0323 0.0647  4 Ir 2.41
Ir1 0.6349 0.6349 0.2699  4 Co 2.41
K1 0.3327 0.3327 0.6655  4 K 2.76

Properties
* E_form: 0.74 eV per atom
* Fermi-level density of states: 1.225 states/eV per atom
* space-group type: I4mm (107)
* volume: 52.7 Å³ per cell
* ρ: 9.142 g/cm³
* crystal system: tetragonal

=====

Entry 8:
ZnGeSb2Te | GGA-PBEsol | relaxed

Cell: 5.3631 5.2748 5.2748 Å, 90.00 90.00 90.00°
Last column: nearest neighbours and their distance in Å.
Positions (direct):
Sb1 0.0000 0.0000 0.5000  2 Ge 2.64
Sb2 0.0000 0.5000 0.0000  2 Ge 2.64
Ge1 0.0000 0.0000 0.0000  4 Sb 2.64, 2 Te 2.68
Te1 0.5000 0.0000 0.0000  2 Ge 2.68
Zn1 0.5000 0.5000 0.5000  4 Te 3.73, 8 Sb 3.76

Properties
* raw formation energy: 0.720 eV/atom
* Fermi-level density of states: 0.887 states/eV per atom
* space-group type: P4/mmm (123)
* volume: 149.2 Å³ per cell
* ρ: 5.666 g/cm³
* crystal system: tetragonal

=====

Please write out number 2 again, unchanged.
BaCuRh2 | GGA-PBEsol | relaxed

Cell: 4.3241 4.3241 5.9735 Å, 111.22 90.00 120.00°
Last column: nearest neighbours and their distance in Å.
Positions (direct):
Rh1 0.0059 0.0118 0.0176  3 Rh 2.50, 3 Cu 2.54
Rh2 0.6840 0.3681 0.0520  3 Rh 2.50, 3 Cu 2.57
Ba1 0.4979 0.9959 0.4941  1 Rh 3.03, 1 Cu 3.03
Cu1 0.3121 0.6243 0.9362  6 Rh 2.54-2.57

Properties
* E_form: -0.02 eV per atom
* Fermi-level density of states: 1.132 states/eV per atom
* space-group type: R3m (160)
* volume: 87.9 Å³ per cell
* ρ: 7.685 g/cm³
* crystal system: trigonal

=====

> What is the ρ in the fourth record?

4.560 g/cm³

=====

> Look up the Fermi-level density of states of the fourth one.

0.937 states/eV per atom